Computed, not measured: crystalline Na3ZnP2 at its relaxed geometry at the GGA-PBE level of DFT.

Summary:
**M_tot**: 0.61 μB/f.u.
**Energy**: -2.936 eV per atom
**E_form**: -0.261 eV per atom

Lattice parameters (Å, degrees): 8.0825 8.0825 8.0825 130.10 67.87 137.11
Closest atoms and distances in Å follow each position.
Fractional coordinates of all 12 atoms:
Na: 0.1867 0.6867 0.8734  4 P 2.88-3.15, 2 Zn 3.17
Na: 0.2500 0.2500 0.0000  4 P 2.87, 2 Na 2.96
Na: 0.3133 0.1867 0.5001  4 P 2.88-3.15, 2 Zn 3.17
Na: 0.6867 0.8133 0.4999  4 P 2.88-3.15, 2 Zn 3.17
Na: 0.7500 0.7500 0.0000  4 P 2.87, 2 Na 2.96
Na: 0.8133 0.3133 0.1266  4 P 2.88-3.15, 2 Zn 3.17
Zn: 0.2500 0.7500 0.5000  4 P 2.48
Zn: 0.7500 0.2500 0.5000  4 P 2.48
P: 0.1054 0.2954 0.4008  2 Zn 2.48
P: 0.3946 0.7954 0.1900  2 Zn 2.48
P: 0.6054 0.2046 0.8100  2 Zn 2.48
P: 0.8946 0.7046 0.5992  2 Zn 2.48

---

Computed, not measured: crystalline Pr2PuGa3Pd4 at its relaxed geometry at the GGA-PBE level of DFT.

Summary:
**M_tot**: 5.53 μB/f.u.
**Energy**: -6.071 eV per atom
**E_form**: -0.697 eV per atom

Lattice parameters (Å, degrees): 4.3708 4.3708 11.0460 90.00 90.00 90.00
Closest atoms and distances in Å follow each position.
Fractional coordinates of all 10 atoms:
Pr: 0.0000 0.5000 0.2302  6 Ga 3.33-3.70, 8 Pd 3.34-3.35, 2 Pu 3.70
Pr: 0.5000 0.0000 0.7698  6 Ga 3.33-3.70, 8 Pd 3.34-3.35, 2 Pu 3.70
Pu: 0.0000 0.0000 0.5000  4 Pd 2.78, 4 Ga 3.09
Ga: 0.0000 0.5000 0.8813  5 Pd 2.49-2.55
Ga: 0.5000 0.0000 0.1187  5 Pd 2.49-2.55
Ga: 0.5000 0.5000 0.5000  4 Pd 2.78, 4 Pu 3.09
Pd: 0.0000 0.0000 0.0000  4 Ga 2.55
Pd: 0.0000 0.5000 0.6558  3 Ga 2.49-2.78, 2 Pu 2.78
Pd: 0.5000 0.0000 0.3442  3 Ga 2.49-2.78, 2 Pu 2.78
Pd: 0.5000 0.5000 0.0000  4 Ga 2.55

---

Computed, not measured: crystalline Sr2LaSiPb at its relaxed geometry at the GGA-PBE level of DFT.

Summary:
**M_tot**: 0.61 μB/f.u.
**Energy**: -3.172 eV per atom
**Formation energy without anion corrections**: 1.56 eV/f.u.

Lattice parameters (Å, degrees): 6.1875 6.1875 6.1872 90.00 90.00 90.00
Closest atoms and distances in Å follow each position.
Fractional coordinates of all 5 atoms:
Sr: 0.0000 0.5000 0.0000  2 Pb 3.09
Sr: 0.5000 0.0000 0.0000  2 Pb 3.09
La: 0.0000 0.0000 0.5000  2 Pb 3.09
Si: 0.5000 0.5000 0.5000  8 Sr 4.38, 4 La 4.38
Pb: 0.0000 0.0000 0.0000  2 La 3.09, 4 Sr 3.09

---

Computed, not measured: crystalline NaCu2Cl6 at its relaxed geometry at the GGA-PBE level of DFT.

Summary:
**M_tot**: 3.08 μB/f.u.
**ΔE to the lowest computed polymorph**: 0 meV/atom
**Energy**: -2.940 eV per atom
**Formation energy without anion corrections**: -5.87 eV/f.u.

Lattice parameters (Å, degrees): 8.6953 8.6953 6.2303 100.61 100.61 77.36
Closest atoms and distances in Å follow each position.
Fractional coordinates of all 18 atoms:
Na: 0.1402 0.8598 0.7500  6 Cl 2.73-3.00
Na: 0.8598 0.1402 0.2500  6 Cl 2.73-3.00
Cu: 0.1613 0.3246 0.0068  6 Cl 2.34-2.51
Cu: 0.3246 0.1613 0.5068  6 Cl 2.34-2.51
Cu: 0.6754 0.8387 0.4932  6 Cl 2.34-2.51
Cu: 0.8387 0.6754 0.9932  6 Cl 2.34-2.51
Cl: 0.0669 0.1949 0.6499  2 Cu 2.39-2.50
Cl: 0.0994 0.6018 0.9113  2 Cu 2.34-2.51
Cl: 0.1949 0.0669 0.1499  2 Cu 2.39-2.50
Cl: 0.2791 0.4043 0.3727  2 Cu 2.34-2.37
Cl: 0.3982 0.9006 0.5887  2 Cu 2.34-2.51
Cl: 0.4043 0.2791 0.8727  2 Cu 2.34-2.37
Cl: 0.5957 0.7209 0.1273  2 Cu 2.34-2.37
Cl: 0.6018 0.0994 0.4113  2 Cu 2.34-2.51
Cl: 0.7209 0.5957 0.6273  2 Cu 2.34-2.37
Cl: 0.8051 0.9331 0.8501  2 Cu 2.39-2.50
Cl: 0.9006 0.3982 0.0887  2 Cu 2.34-2.51
Cl: 0.9331 0.8051 0.3501  2 Cu 2.39-2.50

---

Computed, not measured: crystalline Li2CaYCl at its relaxed geometry at the GGA-PBE level of DFT.

Summary:
**M_tot**: 0.00 μB/f.u.
**Energy**: -2.165 eV per atom
**Formation energy without anion corrections**: 3.32 eV/f.u.

Lattice parameters (Å, degrees): 5.2618 5.2618 6.6868 90.00 90.00 90.00
Closest atoms and distances in Å follow each position.
Fractional coordinates of all 5 atoms:
Li: 0.0000 0.5000 0.0000  2 Ca 2.63
Li: 0.5000 0.0000 0.0000  2 Ca 2.63
Ca: 0.0000 0.0000 0.0000  4 Li 2.63
Y: 0.0000 0.0000 0.5000  2 Ca 3.34, 4 Cl 3.72
Cl: 0.5000 0.5000 0.5000  4 Y 3.72